Density functional theory data (PBE-GGA) for an optimized crystal structure of YZn6Ag6.

Its crystal system is orthorhombic. Its formation energy from the elements is -171.8 meV/atom. Its space group is Immm.

abc: 7.060 7.060 7.060
angles: 137.05 98.08 97.33
Element x y z (fractional)
Ag  0.346  0.346  0.000
Ag  0.654  0.654  0.000
Ag  0.804  0.500  0.304
Ag  0.347  0.000  0.347
Ag  0.653  0.000  0.653
Ag  0.196  0.500  0.696
Y  0.000  0.000  0.000
Zn  0.500  0.000  0.000
Zn  0.000  0.500  0.000
Zn  0.000  0.000  0.500
Zn  0.773  0.273  0.500
Zn  0.500  0.500  0.500
Zn  0.227  0.727  0.500

Density functional theory data (PBE-GGA) for an optimized crystal structure of PmSn2Hg.

Its crystal system is tetragonal. Its space group is P4/mmm. The total energy is -15.02 eV/cell.

abc: 4.768 4.768 4.564
angles: 90.00 90.00 90.00
Element x y z (fractional)
Hg  0.500  0.500  0.500
Pm  0.000  0.000  0.500
Sn  0.500  0.000  0.000
Sn  0.000  0.500  0.000

Density functional theory data (PBE-GGA) for an optimized crystal structure of LiBe2Ir.

Its crystal system is tetragonal. Its space group is P4/mmm. The total energy is -19.77 eV/cell.

abc: 3.852 3.852 2.805
angles: 90.00 90.00 90.00
Element x y z (fractional)
Be  0.500  0.000  0.500
Be  0.000  0.500  0.500
Ir  0.500  0.500  0.000
Li  0.000  0.000  0.000

Density functional theory data (PBE-GGA) for an optimized crystal structure of SrYAgSeS2.

Its crystal system is orthorhombic. Its space group is Cmcm. The total energy is -64.03 eV/cell.

abc: 7.146 7.146 10.653
angles: 90.00 90.00 146.96
Element x y z (fractional)
Ag  0.524  0.476  0.250
Ag  0.476  0.524  0.750
S  0.633  0.367  0.061
S  0.633  0.367  0.439
S  0.367  0.633  0.561
S  0.367  0.633  0.939
Se  0.902  0.098  0.250
Se  0.098  0.902  0.750
Sr  0.233  0.767  0.250
Sr  0.767  0.233  0.750
Y  0.000  0.000  0.000
Y  0.000  0.000  0.500

Density functional theory data (PBE-GGA) for an optimized crystal structure of KReAs.

Its crystal system is tetragonal. Its space group is P4/mmm. For the energy relative to the lowest polymorph listed for this composition, the calculation gives 0 meV per atom.

abc: 4.733 4.733 4.704
angles: 90.00 90.00 90.00
Last column: magnetic moment on the atom in μB.
Element x y z (fractional)
As  0.000  0.000  0.000  -0.06
K  0.500  0.500  0.000  0.00
Re  0.000  0.000  0.500  2.27

Density functional theory data (PBE-GGA) for an optimized crystal structure of Y2Zr4Si3N3.

Its crystal system is monoclinic. Its space group is C2/c. The total energy is -204.16 eV/cell.

abc: 5.741 5.741 14.216
angles: 101.93 101.93 59.94
Element x y z (fractional)
N  0.666  0.167  0.000
N  0.000  0.500  0.000
N  0.334  0.833  0.000
N  0.167  0.666  0.500
N  0.500  0.000  0.500
N  0.833  0.334  0.500
Si  0.417  0.120  0.249
Si  0.946  0.054  0.250
Si  0.880  0.583  0.251
Si  0.120  0.417  0.749
Si  0.054  0.946  0.750
Si  0.583  0.880  0.751
Y  0.374  0.537  0.109
Y  0.463  0.626  0.391
Y  0.537  0.374  0.609
Y  0.626  0.463  0.891
Zr  0.697  0.859  0.088
Zr  0.026  0.201  0.088
Zr  0.799  0.974  0.412
Zr  0.141  0.303  0.412
Zr  0.859  0.697  0.588
Zr  0.201  0.026  0.588
Zr  0.974  0.799  0.912
Zr  0.303  0.141  0.912

Density functional theory data (PBE-GGA) for an optimized crystal structure of LiTbNO.

Its crystal system is orthorhombic. Its space group is Pbcm. For the energy relative to the lowest polymorph listed for this composition, the calculation gives 0 meV per atom.

abc: 4.629 5.783 6.561
angles: 90.00 90.00 90.00
Element x y z (fractional)
Li  0.488  0.521  0.101
Li  0.988  0.979  0.101
Li  0.488  0.021  0.899
Li  0.988  0.479  0.899
N  0.238  0.250  0.047
N  0.738  0.250  0.047
N  0.238  0.750  0.953
N  0.738  0.750  0.953
O  0.488  0.591  0.381
O  0.988  0.909  0.381
O  0.488  0.091  0.619
O  0.988  0.409  0.619
Tb  0.988  0.521  0.295
Tb  0.488  0.979  0.295
Tb  0.988  0.021  0.705
Tb  0.488  0.479  0.705

Density functional theory data (PBE-GGA) for an optimized crystal structure of Lu2ScAs3.

Its crystal system is trigonal. Its space group is P-3m1. The total energy is -37.94 eV/cell.

abc: 3.979 3.979 9.735
angles: 90.00 90.00 120.00
Element x y z (fractional)
As  0.000  0.000  0.000
As  0.333  0.667  0.341
As  0.667  0.333  0.659
Lu  0.667  0.333  0.171
Lu  0.333  0.667  0.829
Sc  0.000  0.000  0.500

Density functional theory data (PBE-GGA) for an optimized crystal structure of YZrTlCo.

Its crystal system is cubic. Its space group is F-43m. For the energy relative to the lowest polymorph listed for this composition, the calculation gives 0 meV per atom.

abc: 4.849 4.849 4.849
angles: 60.00 60.00 60.00
Element x y z (fractional)
Co  0.750  0.750  0.750
Tl  0.000  0.000  0.000
Y  0.250  0.250  0.250
Zr  0.500  0.500  0.500

Density functional theory data (PBE-GGA) for an optimized crystal structure of AgPPdO.

Its crystal system is tetragonal. Its space group is P4/nmm. For the energy relative to the lowest polymorph listed for this composition, the calculation gives 157 meV per atom.

abc: 3.653 3.653 8.536
angles: 90.00 90.00 90.00
Element x y z (fractional)
Ag  0.750  0.250  0.500
Ag  0.250  0.750  0.500
O  0.750  0.250  0.000
O  0.250  0.750  0.000
P  0.750  0.750  0.128
P  0.250  0.250  0.872
Pd  0.250  0.250  0.247
Pd  0.750  0.750  0.753

Density functional theory data (PBE-GGA) for an optimized crystal structure of PaZnO3.

Its crystal system is trigonal. Its space group is R-3c. The total energy is -73.64 eV/cell.

abc: 6.136 6.136 6.136
angles: 55.58 55.58 55.58
Element x y z (fractional)
O  0.750  0.416  0.084
O  0.584  0.916  0.250
O  0.084  0.750  0.416
O  0.916  0.250  0.584
O  0.416  0.084  0.750
O  0.250  0.584  0.916
Pa  0.000  0.000  0.000
Pa  0.500  0.500  0.500
Zn  0.250  0.250  0.250
Zn  0.750  0.750  0.750

Density functional theory data (PBE-GGA) for an optimized crystal structure of ZrZnNO.

Its crystal system is tetragonal. Its space group is P4/nmm. For the energy relative to the lowest polymorph listed for this composition, the calculation gives 306 meV per atom.

abc: 3.407 3.407 7.904
angles: 90.00 90.00 90.00
Last column: magnetic moment on the atom in μB.
Element x y z (fractional)
N  0.000  0.500  0.282  0.31
N  0.500  0.000  0.718  0.31
O  0.000  0.000  0.000  0.03
O  0.500  0.500  0.000  0.03
Zn  0.000  0.000  0.500  0.08
Zn  0.500  0.500  0.500  0.08
Zr  0.500  0.000  0.165  0.14
Zr  0.000  0.500  0.835  0.14

Number 6 is which compound? Y2Zr4Si3N3